Record 1
Material: Sr3SnAu
Method: DFT, PBE-GGA
State: optimized geometry

Lattice parameters (Å, degrees): 9.2535 8.9436 8.9436 83.36 89.97 89.97
Fractional positions:
1 Sr 0.5882 0.8083 0.0105
2 Sr 0.9118 0.9895 0.1917
3 Sr 0.4118 0.1917 0.9895
4 Sr 0.0882 0.0105 0.8083
5 Sr 0.8142 0.4243 0.0754
6 Sr 0.6858 0.9246 0.5757
7 Sr 0.1858 0.5757 0.9246
8 Sr 0.3142 0.0754 0.4243
9 Sr 0.5882 0.4919 0.6923
10 Sr 0.9118 0.3077 0.5081
11 Sr 0.4118 0.5081 0.3077
12 Sr 0.0882 0.6923 0.4919
13 Sn 0.2500 0.8523 0.1477
14 Sn 0.7500 0.1477 0.8523
15 Sn 0.2500 0.3529 0.6471
16 Sn 0.7500 0.6471 0.3529
17 Au 0.8704 0.6974 0.8063
18 Au 0.6296 0.1937 0.3026
19 Au 0.1296 0.3026 0.1937
20 Au 0.3704 0.8063 0.6974

Properties
Size of the total moment, μB/atom: 0.000
Space group: C2/c
Total energy, eV/cell: -60.60
Formation energy, meV per atom: -565

Record 2
Material: ZrZn3Pd
Method: DFT, PBE-GGA
State: optimized geometry

Lattice parameters (Å, degrees): 4.6468 4.6468 4.6468 90.00 90.00 90.00
Fractional positions:
1 Zn 0.0000 0.5000 0.0000
2 Zn 0.0000 0.0000 0.5000
3 Zn 0.5000 0.0000 0.0000
4 Zr 0.5000 0.5000 0.5000
5 Pd 0.0000 0.0000 0.0000

Properties
Size of the total moment, μB/atom: 0.000
Space group: Pm-3m
Total energy, eV/cell: -16.61
Formation energy, meV per atom: 190

Record 3
Material: FeTcMo3
Method: DFT, PBE-GGA
State: optimized geometry

Lattice parameters (Å, degrees): 4.3969 4.3969 4.3969 90.00 90.00 90.00
Fractional positions:
1 Mo 0.0000 0.5000 0.0000
2 Mo 0.0000 0.0000 0.5000
3 Mo 0.5000 0.0000 0.0000
4 Tc 0.5000 0.5000 0.5000
5 Fe 0.0000 0.0000 0.0000

Properties
Size of the total moment, μB/atom: 0.030
Space group: Pm-3m
Total energy, eV/cell: -45.12
Formation energy, meV per atom: 1241

Record 4
Material: LaDyTmLu
Method: DFT, PBE-GGA
State: optimized geometry

Lattice parameters (Å, degrees): 5.6805 5.6805 5.6805 60.00 60.00 60.00
Fractional positions:
1 Lu 0.0000 0.0000 0.0000
2 Tm 0.5000 0.5000 0.5000
3 Dy 0.7500 0.7500 0.7500
4 La 0.2500 0.2500 0.2500

Properties
Size of the total moment, μB/atom: 0.000
Space group: F-43m
Total energy, eV/cell: -18.16
Formation energy, meV per atom: 90

Record 5
Material: LaPr6Ho3Er2
Method: DFT, PBE-GGA
State: optimized geometry

Lattice parameters (Å, degrees): 6.3190 6.3190 11.9538 95.05 95.05 120.01
Fractional positions:
1 La 0.0000 0.0000 0.0000
2 Pr 0.9159 0.5814 0.7478
3 Pr 0.7499 0.7499 0.2522
4 Pr 0.0841 0.4186 0.2522
5 Pr 0.5814 0.9159 0.7478
6 Pr 0.2501 0.2501 0.7478
7 Pr 0.4186 0.0841 0.2522
8 Ho 0.1670 0.8330 0.5000
9 Ho 0.8330 0.1670 0.5000
10 Ho 0.5000 0.5000 0.5000
11 Er 0.3335 0.6665 0.0000
12 Er 0.6665 0.3335 0.0000

Properties
Size of the total moment, μB/atom: 0.000
Space group: C2/m
Total energy, eV/cell: -56.25
Formation energy, meV per atom: 17

Record 6
Material: BeAs2W
Method: DFT, PBE-GGA
State: optimized geometry

Lattice parameters (Å, degrees): 6.8376 6.8376 6.8376 27.90 27.90 27.90
Fractional positions:
1 Be 0.7500 0.7500 0.7500
2 As 0.0067 0.0067 0.0067
3 As 0.4933 0.4933 0.4933
4 W 0.2500 0.2500 0.2500

Properties
Size of the total moment, μB/atom: 0.000
Space group: R-3m
Total energy, eV/cell: -25.11
Formation energy, meV per atom: 218

Record 7
Material: CePO6
Method: DFT, PBE-GGA
State: optimized geometry

Lattice parameters (Å, degrees): 5.5323 5.5322 5.5369 60.02 60.02 59.99
Fractional positions:
1 Ce 0.5000 0.5000 0.5000
2 P 0.0000 0.0000 0.0000
3 O 0.2109 0.2151 0.7865
4 O 0.7867 0.2105 0.7874
5 O 0.7851 0.2136 0.2124
6 O 0.2133 0.7895 0.2126
7 O 0.7891 0.7849 0.2135
8 O 0.2149 0.7864 0.7876

Properties
Size of the total moment, μB/atom: 0.306
Space group: R-3
Total energy, eV/cell: -54.97
Energy relative to the elements, uncorrected, eV/atom: -1.735

Record 8
Material: Mn5Ru
Method: DFT, PBE-GGA
State: optimized geometry

Lattice parameters (Å, degrees): 2.5706 6.6849 4.0631 90.00 90.00 78.91
Fractional positions:
1 Mn 0.0056 0.9887 0.0000
2 Mn 0.6680 0.6640 0.0000
3 Mn 0.3301 0.3397 0.0000
4 Mn 0.5583 0.8834 0.5000
5 Mn 0.2166 0.5669 0.5000
6 Ru 0.8880 0.2240 0.5000

Properties
Size of the total moment, μB/atom: 0.004
Space group: Amm2
Total energy, eV/cell: -54.77
Formation energy, meV per atom: 60

Record 9
Material: Co2IrPb
Method: DFT, PBE-GGA
State: optimized geometry

Lattice parameters (Å, degrees): 8.7055 8.7055 8.7055 19.44 19.44 19.44
Fractional positions:
1 Co 0.9925 0.9925 0.9925
2 Co 0.5075 0.5075 0.5075
3 Ir 0.2500 0.2500 0.2500
4 Pb 0.7500 0.7500 0.7500

Properties
Size of the total moment, μB/atom: 0.993
Space group: R-3m
Total energy, eV/cell: -24.27
Formation energy, meV per atom: 627

Record 10
Material: HgGe6Se8
Method: DFT, PBE-GGA
State: optimized geometry

Lattice parameters (Å, degrees): 7.7254 7.7254 7.7254 91.64 91.64 91.64
Fractional positions:
1 Hg 0.0000 0.0000 0.0000
2 Ge 0.5976 0.4439 0.8228
3 Ge 0.4439 0.8228 0.5976
4 Ge 0.8228 0.5976 0.4439
5 Ge 0.4024 0.5561 0.1772
6 Ge 0.5561 0.1772 0.4024
7 Ge 0.1772 0.4024 0.5561
8 Se 0.7340 0.7340 0.7340
9 Se 0.2660 0.2660 0.2660
10 Se 0.5807 0.8730 0.2993
11 Se 0.8730 0.2993 0.5807
12 Se 0.2993 0.5807 0.8730
13 Se 0.4193 0.1270 0.7007
14 Se 0.1270 0.7007 0.4193
15 Se 0.7007 0.4193 0.1270

Properties
Size of the total moment, μB/atom: 0.000
Space group: R-3
Total energy, eV/cell: -57.15
Energy relative to the elements, uncorrected, eV/atom: -0.084

Record 11
Material: TaSb2Mo
Method: DFT, PBE-GGA
State: optimized geometry

Lattice parameters (Å, degrees): 3.1380 3.1380 8.8163 90.00 90.00 112.78
Fractional positions:
1 Mo 0.5000 0.5000 0.7500
2 Sb 0.0000 0.0000 0.9926
3 Sb 0.0000 0.0000 0.5074
4 Ta 0.5000 0.5000 0.2500

Properties
Size of the total moment, μB/atom: 0.001
Space group: Cmmm
Total energy, eV/cell: -28.88
Energy relative to the elements, uncorrected, eV/atom: 0.512

Record 12
Material: Fe2Re2Rh
Method: DFT, PBE-GGA
State: optimized geometry

Lattice parameters (Å, degrees): 6.9627 6.9627 2.7194 90.00 90.00 90.00
Fractional positions:
1 Re 0.1712 0.6712 0.5000
2 Re 0.6712 0.8288 0.5000
3 Re 0.8288 0.3288 0.5000
4 Re 0.3288 0.1712 0.5000
5 Rh 0.0000 0.0000 0.0000
6 Rh 0.5000 0.5000 0.0000
7 Fe 0.3755 0.8755 0.0000
8 Fe 0.8755 0.6245 0.0000
9 Fe 0.6245 0.1245 0.0000
10 Fe 0.1245 0.3755 0.0000

Properties
Size of the total moment, μB/atom: 0.000
Space group: P4/mbm
Total energy, eV/cell: -97.43
Formation energy, meV per atom: 92